# 1
# BaInI4

Crystalline BaInI4 at its relaxed geometry (GGA-PBE, Alexandria via LeMat-Bulk).

a = 6.657 Å, b = 9.440 Å, c = 11.409 Å
α = 90.00°, β = 90.00°, γ = 111.70°
Fractional coordinates of all 12 atoms:
Ba  0.047  0.622  0.750
Ba  0.953  0.378  0.250
In  0.830  0.062  0.750
In  0.170  0.938  0.250
I  0.592  0.705  0.750
I  0.408  0.295  0.250
I  0.261  0.027  0.750
I  0.739  0.973  0.250
I  0.096  0.698  0.064
I  0.904  0.302  0.564
I  0.096  0.698  0.436
I  0.904  0.302  0.936

SG = P2_1/m (11)
N(E_F) = 0.408 states/eV per atom
total magnetic moment = 0.0 Bohr magnetons per cell
formation energy without anion corrections = -1044 meV/atom
energy above the most stable polymorph in this dataset = 0 meV/atom

# 2
# Ba3In2I8

Crystalline Ba3In2I8 at its relaxed geometry (GGA-PBE, Alexandria via LeMat-Bulk).

a = 8.787 Å, b = 9.473 Å, c = 9.473 Å
α = 66.45°, β = 87.10°, γ = 87.10°
Fractional coordinates of all 13 atoms:
Ba  0.500  0.000  0.000
Ba  0.000  0.749  0.251
Ba  0.000  0.251  0.749
In  0.466  0.715  0.715
In  0.534  0.285  0.285
I  0.854  0.384  0.384
I  0.146  0.616  0.616
I  0.845  0.883  0.883
I  0.155  0.117  0.117
I  0.662  0.355  0.901
I  0.662  0.901  0.355
I  0.338  0.099  0.645
I  0.338  0.645  0.099

SG = C2/m (12)
N(E_F) = 0.000 states/eV per atom
total magnetic moment = 0.0 Bohr magnetons per cell
formation energy without anion corrections = -1340 meV/atom

# 3
# BaIn2I6

Crystalline BaIn2I6 at its relaxed geometry (GGA-PBE, Alexandria via LeMat-Bulk).

a = 5.687 Å, b = 8.143 Å, c = 10.922 Å
α = 97.07°, β = 90.00°, γ = 110.44°
Fractional coordinates of all 9 atoms:
Ba  0.000  0.000  0.500
In  0.736  0.473  0.804
In  0.264  0.527  0.196
I  0.923  0.846  0.786
I  0.806  0.612  0.148
I  0.194  0.388  0.852
I  0.643  0.286  0.541
I  0.357  0.714  0.459
I  0.077  0.154  0.214

SG = C2/m (12)
N(E_F) = 0.259 states/eV per atom
total magnetic moment = 0.0 Bohr magnetons per cell
formation energy without anion corrections = -844 meV/atom
energy above the most stable polymorph in this dataset = 54 meV/atom

# 4
# Ba2In2I

Crystalline Ba2In2I at its relaxed geometry (GGA-PBE, Alexandria via LeMat-Bulk).

a = 6.818 Å, b = 6.818 Å, c = 6.810 Å
α = 59.96°, β = 59.96°, γ = 90.00°
Fractional coordinates of all 5 atoms:
I  0.000  0.000  0.000
Ba  0.750  0.250  0.500
Ba  0.250  0.750  0.500
In  0.360  0.360  0.280
In  0.640  0.640  0.720

SG = I4/mmm (139)
N(E_F) = 0.709 states/eV per atom
total magnetic moment = 0.0 Bohr magnetons per cell
formation energy without anion corrections = -408 meV/atom

# 5
# Ba6InI5

Crystalline Ba6InI5 at its relaxed geometry (GGA-PBE, Alexandria via LeMat-Bulk).

a = 8.699 Å, b = 8.847 Å, c = 8.762 Å
α = 59.68°, β = 80.46°, γ = 70.84°
Fractional coordinates of all 12 atoms:
I  0.500  0.176  0.649
I  0.000  0.336  0.328
I  0.500  0.500  0.000
I  0.000  0.664  0.672
I  0.500  0.824  0.351
Ba  0.765  0.077  0.317
Ba  0.235  0.606  0.317
Ba  0.244  0.232  0.000
Ba  0.756  0.768  0.000
Ba  0.765  0.394  0.683
Ba  0.235  0.923  0.683
In  0.000  0.000  0.000

SG = C2/m (12)
N(E_F) = 0.396 states/eV per atom
total magnetic moment = 0.0 Bohr magnetons per cell
formation energy without anion corrections = -1204 meV/atom

# 6
# BaIn3I

Crystalline BaIn3I at its relaxed geometry (GGA-PBE, Alexandria via LeMat-Bulk).

a = 6.165 Å, b = 6.165 Å, c = 6.165 Å
α = 90.00°, β = 90.00°, γ = 90.00°
Fractional coordinates of all 5 atoms:
I  0.000  0.000  0.000
Ba  0.500  0.500  0.500
In  0.000  0.500  0.000
In  0.000  0.000  0.500
In  0.500  0.000  0.000

SG = Pm-3m (221)
N(E_F) = 0.862 states/eV per atom
total magnetic moment = 0.0 Bohr magnetons per cell
formation energy without anion corrections = 111 meV/atom
energy above the most stable polymorph in this dataset = 0 meV/atom

# 7
# Ba3InI7

Crystalline Ba3InI7 at its relaxed geometry (GGA-PBE, Alexandria via LeMat-Bulk).

a = 10.214 Å, b = 10.214 Å, c = 11.494 Å
α = 90.00°, β = 90.00°, γ = 108.01°
Fractional coordinates of all 22 atoms:
Ba  0.500  0.500  0.500
Ba  0.500  0.500  0.000
Ba  0.539  0.006  0.251
Ba  0.461  0.994  0.751
Ba  0.006  0.539  0.749
Ba  0.994  0.461  0.249
In  0.000  0.000  0.500
In  0.000  0.000  0.000
I  0.635  0.883  0.521
I  0.365  0.117  0.021
I  0.883  0.635  0.479
I  0.117  0.365  0.979
I  0.118  0.366  0.520
I  0.882  0.634  0.020
I  0.366  0.118  0.480
I  0.634  0.882  0.980
I  0.362  0.638  0.250
I  0.638  0.362  0.750
I  0.628  0.372  0.250
I  0.372  0.628  0.750
I  0.893  0.107  0.250
I  0.107  0.893  0.750

SG = C222_1 (20)
N(E_F) = 0.000 states/eV per atom
total magnetic moment = 0.0 Bohr magnetons per cell
formation energy without anion corrections = -1514 meV/atom

# 8
# Ba2In2I

Crystalline Ba2In2I at its relaxed geometry (GGA-PBE, Alexandria via LeMat-Bulk).

a = 9.939 Å, b = 9.939 Å, c = 4.524 Å
α = 90.00°, β = 90.00°, γ = 90.00°
Fractional coordinates of all 10 atoms:
I  0.000  0.000  0.000
I  0.500  0.500  0.000
Ba  0.305  0.805  0.000
Ba  0.805  0.695  0.000
Ba  0.695  0.195  0.000
Ba  0.195  0.305  0.000
In  0.100  0.600  0.500
In  0.600  0.900  0.500
In  0.900  0.400  0.500
In  0.400  0.100  0.500

SG = P4/mbm (127)
N(E_F) = 0.877 states/eV per atom
total magnetic moment = 0.0 Bohr magnetons per cell
formation energy without anion corrections = -599 meV/atom